Here is RbBaBrO after structural relaxation from Alexandria. Energies are from PBE.

Structure (POSCAR):
```
RbBaBrO
1.0
4.107 0.000 0.000
2.054 3.557 0.000
2.054 1.186 8.279
Rb Ba Br O
1 1 1 1
Cartesian
6.161 3.557 5.536
4.107 2.371 0.621
2.054 1.186 3.157
4.107 2.371 7.774
```

## Properties
As for the formation energy from raw total energies: -7.6 eV/f.u. As for the total energy: -17.14 eV for the cell shown. The density of states at the Fermi level is 0.00 states/eV/cell.

***

Here is Rb3Ba2Br3O2 after structural relaxation from Alexandria. Energies are from PBE.

Structure (POSCAR):
```
Rb3Ba2Br3O2
1.0
5.099 0.000 0.000
0.000 5.099 0.000
-2.550 -2.550 13.866
Rb Ba Br O
3 2 3 2
Cartesian
2.550 2.550 10.426
2.550 2.550 0.000
0.000 0.000 3.439
2.550 0.000 6.933
0.000 2.550 6.933
2.550 2.550 3.686
0.000 0.000 10.180
0.000 0.000 0.000
2.550 2.550 7.681
0.000 0.000 6.185
```

## Properties
As for the formation energy from raw total energies: -19.5 eV/f.u. As for the total energy: -41.17 eV for the cell shown. The density of states at the Fermi level is 0.00 states/eV/cell.

***

Here is Rb2BaBr6O after structural relaxation from Alexandria. Energies are from PBE.

Structure (POSCAR):
```
Rb2BaBr6O
1.0
7.599 0.000 0.000
0.000 7.599 0.000
3.800 3.800 6.902
O Br Ba Rb
1 6 1 2
Cartesian
3.800 3.800 0.000
3.800 3.800 3.753
7.599 7.599 3.149
2.208 2.208 0.000
5.391 5.391 0.000
5.391 2.208 0.000
2.208 5.391 0.000
0.000 0.000 0.000
7.599 3.800 3.451
3.800 7.599 3.451
```

## Properties
As for the formation energy from raw total energies: -10.2 eV/f.u. As for the total energy: -29.01 eV for the cell shown. The density of states at the Fermi level is 0.00 states/eV/cell.

***

Here is BaReBrO4 after structural relaxation from Alexandria. Energies are from PBE.

Structure (POSCAR):
```
BaReBrO4
1.0
7.036 -0.096 -0.139
2.240 6.671 -0.139
1.736 1.230 7.470
Ba Re Br O
2 2 2 8
Cartesian
3.513 2.490 6.342
7.499 5.315 0.851
7.153 5.070 5.385
3.858 2.735 1.807
0.748 0.530 1.804
10.263 7.274 5.388
3.659 2.593 3.538
7.352 5.211 3.655
2.447 3.474 1.057
5.259 3.728 1.481
6.923 6.647 6.135
4.089 1.158 1.057
5.752 4.077 5.711
8.564 4.330 6.135
```

## Properties
As for the formation energy from raw total energies: -14.3 eV/f.u. As for the total energy: -100.31 eV for the cell shown. The density of states at the Fermi level is 0.00 states/eV/cell.

***

Here is Ba5Re3BrO15 after structural relaxation from Alexandria. Energies are from PBE.

Structure (POSCAR):
```
Ba5Re3BrO15
1.0
-10.402 4.059 -0.458
3.986 -4.084 9.608
2.731 7.215 1.934
Ba Re Br O
10 6 2 30
Cartesian
3.100 4.271 4.014
-0.801 -1.347 6.259
-1.055 1.751 2.925
-2.664 5.348 8.135
-5.597 1.367 2.903
-6.947 4.729 0.136
-4.232 4.975 3.870
0.564 2.261 7.226
-0.759 6.454 1.315
3.583 -1.231 7.503
-3.084 2.141 6.140
-4.142 8.231 1.266
-3.263 3.747 0.398
2.379 0.554 4.345
4.604 3.281 7.385
-0.335 5.754 5.132
2.648 6.997 1.875
1.283 3.389 0.908
2.922 3.752 6.720
-0.314 5.702 9.884
-6.805 5.635 2.941
-4.077 3.685 6.367
-0.463 7.301 4.127
1.519 -0.355 3.105
-2.151 5.998 5.501
1.147 3.643 9.631
4.153 4.282 8.874
-0.476 0.136 8.653
-4.043 7.812 7.275
-5.599 7.319 0.878
-0.276 4.937 6.813
1.390 2.106 4.539
-5.288 7.285 5.129
1.966 0.671 9.078
-2.782 2.079 0.095
-4.779 3.684 1.489
4.488 1.611 7.934
-2.339 4.216 1.931
-1.482 1.330 5.619
-3.357 2.391 4.308
1.655 0.043 5.991
-6.555 3.576 4.401
-2.189 2.616 7.688
-4.170 0.849 6.646
-4.619 9.246 2.737
-3.156 7.192 2.468
-0.225 4.466 3.935
1.424 6.233 5.447
```

## Properties
As for the formation energy from raw total energies: -55.5 eV/f.u. As for the total energy: -356.94 eV for the cell shown. The density of states at the Fermi level is 0.00 states/eV/cell.

***

Here is Ba6Rh2Br2O after structural relaxation from Alexandria. Energies are from PBE.

Structure (POSCAR):
```
Ba6Rh2Br2O
1.0
-1.119 -1.754 -7.320
6.778 -1.386 3.171
-4.591 -6.223 3.674
Ba Rh Br O
6 2 2 1
Cartesian
1.182 -6.688 -0.655
-0.688 -5.051 3.301
-0.114 -2.675 0.180
-3.190 -5.167 -0.023
1.756 -4.312 -3.776
4.258 -4.195 -0.452
1.899 -4.618 1.575
-0.831 -4.745 -2.050
0.205 -1.692 -5.562
5.454 -1.448 1.412
-2.295 -3.111 1.837
```

## Properties
As for the formation energy from raw total energies: -12.2 eV/f.u. As for the total energy: -46.77 eV for the cell shown. The density of states at the Fermi level is 5.12 states/eV/cell.

***

Here is Ba4RhBr2O after structural relaxation from Alexandria. Energies are from PBE.

Structure (POSCAR):
```
Ba4RhBr2O
1.0
-0.150 -2.946 3.294
-0.673 -5.495 -4.945
8.267 1.045 1.312
Ba Rh Br O
4 1 2 1
Cartesian
1.379 -2.537 0.762
6.064 -4.859 -1.100
6.475 -0.446 -0.103
1.119 -4.004 -3.530
-0.412 -4.221 -0.825
4.058 -0.951 2.303
3.797 -2.225 -1.817
0.000 0.000 0.000
```

## Properties
As for the formation energy from raw total energies: -11.8 eV/f.u. As for the total energy: -35.18 eV for the cell shown. The density of states at the Fermi level is 2.71 states/eV/cell.

***

Here is Ba8Rh3Br3O after structural relaxation from Alexandria. Energies are from PBE.

Structure (POSCAR):
```
Ba8Rh3Br3O
1.0
-4.403 2.029 -7.472
-1.410 -7.827 4.015
-3.619 7.923 4.284
Ba Rh Br O
8 3 3 1
Cartesian
-2.889 -1.322 1.344
-6.543 3.447 -0.517
-5.333 -0.336 -2.257
-4.099 2.461 3.084
-4.587 3.789 -4.373
-4.846 -1.665 5.199
-2.268 2.721 -0.438
-7.164 -0.596 1.264
-4.011 4.976 -1.594
-4.716 1.062 0.413
-2.514 0.048 4.149
0.000 0.000 0.000
-0.705 -3.914 2.007
-2.906 -2.899 -1.729
-1.810 3.961 2.142
```

## Properties
As for the formation energy from raw total energies: -15.7 eV/f.u. As for the total energy: -63.11 eV for the cell shown. The density of states at the Fermi level is 6.25 states/eV/cell.

***

Here is BaRuBrO4 after structural relaxation from Alexandria. Energies are from PBE.

Structure (POSCAR):
```
BaRuBrO4
1.0
6.990 -0.088 -0.200
2.232 6.624 -0.200
1.661 1.177 7.402
Ba Ru Br O
2 2 2 8
Cartesian
3.454 2.448 6.267
7.429 5.266 0.733
7.059 5.003 5.253
3.825 2.711 1.748
0.744 0.527 1.789
10.140 7.187 5.212
3.570 2.530 3.462
7.313 5.183 3.539
2.429 3.436 0.949
5.225 3.704 1.441
6.836 6.560 6.052
4.047 1.153 0.949
5.658 4.010 5.559
8.455 4.277 6.052
```

## Properties
As for the formation energy from raw total energies: -9.6 eV/f.u. As for the total energy: -84.61 eV for the cell shown. The density of states at the Fermi level is 11.71 states/eV/cell.

***

Here is Ba5Ru2Br2O9 after structural relaxation from Alexandria. Energies are from PBE.

Structure (POSCAR):
```
Ba5Ru2Br2O9
1.0
-2.041 0.845 5.507
-3.770 -1.294 -4.395
2.911 -25.343 4.968
Ba Ru Br O
10 4 4 18
Cartesian
-0.535 -23.727 3.443
-1.414 -10.342 4.259
-2.365 -2.065 2.637
-2.688 -4.981 -0.232
-0.657 -16.939 5.553
-2.244 -8.852 0.527
-0.212 -20.811 6.312
-1.890 -6.204 3.448
-1.486 -15.450 1.820
-1.011 -19.588 2.632
2.343 -20.399 3.999
0.888 -7.728 1.515
2.023 -17.615 3.453
0.568 -4.944 0.969
-1.872 -12.087 1.161
-3.060 -1.747 -0.866
-1.028 -13.705 4.919
0.159 -24.045 6.946
-1.577 -17.636 0.461
-2.104 -21.843 4.234
0.383 -16.963 2.745
-0.119 -18.485 7.737
0.997 -18.947 4.726
-0.720 -6.599 0.746
-2.781 -7.307 -1.657
-3.897 -6.845 1.354
-1.323 -8.156 5.619
-0.796 -3.949 1.846
-2.180 -19.193 5.334
-3.816 -4.183 2.424
-0.262 -8.596 2.757
-1.857 -3.510 4.708
0.916 -21.609 3.656
-3.283 -8.829 3.335
-2.638 -17.196 3.323
-1.043 -22.282 1.371
```

## Properties
As for the formation energy from raw total energies: -36.7 eV/f.u. As for the total energy: -225.76 eV for the cell shown.

***

Here is BaSBr2O after structural relaxation from Alexandria. Energies are from PBE.

Structure (POSCAR):
```
BaSBr2O
1.0
4.989 0.000 0.000
0.000 4.623 0.000
0.000 0.000 4.989
O S Ba Br
1 1 1 2
Cartesian
0.000 0.000 0.000
0.000 2.311 0.000
2.495 2.311 2.495
0.000 0.000 2.495
2.495 0.000 0.000
```

## Properties
As for the formation energy from raw total energies: -3.1 eV/f.u. As for the total energy: -17.45 eV for the cell shown. The density of states at the Fermi level is 1.79 states/eV/cell.

***

Here is BaSBrO4 after structural relaxation from Alexandria. Energies are from PBE.

Structure (POSCAR):
```
BaSBrO4
1.0
6.963 1.079 -0.354
3.325 6.212 -0.354
1.667 1.182 6.595
Ba S Br O
2 2 2 8
Cartesian
4.611 3.268 4.692
7.343 5.205 1.196
8.031 5.692 4.556
3.924 2.781 1.332
0.606 0.430 2.177
11.349 8.044 3.711
3.225 2.286 2.549
8.730 6.188 3.339
2.972 3.590 0.497
5.089 3.607 1.765
7.582 6.858 5.390
4.372 1.615 0.497
6.865 4.866 4.122
8.983 4.883 5.390
```

## Properties
As for the formation energy from raw total energies: -12.7 eV/f.u. As for the total energy: -80.57 eV for the cell shown.

***

Question: Look up the formation energy from raw total energies of the tenth one.
Answer: -36.7 eV/f.u.